1.
First-principles (PBEsol) data for crystalline Sr5Re2N6 at its relaxed geometry, as listed in Alexandria.

Cell lengths 10.381, 6.966, 13.139 Å; angles 90.00, 102.46, 90.00 degrees
Space group C2/c (No. 15)
One atom of each set of equivalent atoms:
Sr 0.000 0.118 0.250
Sr 0.060 0.237 0.996
Sr 0.159 0.403 0.716
Re 0.230 0.396 0.440
N 0.053 0.450 0.378
N 0.145 0.051 0.642
N 0.205 0.047 0.419

Results
Its uncorrected formation energy is -756 meV per atom.

2.
First-principles (PBEsol) data for crystalline YMg2Mo at its relaxed geometry, as listed in Alexandria.

Cell lengths 2.9950, 2.9950, 31.7919 Å; angles 90.00, 90.00, 120.00 degrees
Space group R-3m (No. 166, hexagonal axes)
One atom of each set of equivalent atoms:
Y 0.0000 0.0000 0.0000
Mg 0.0000 0.0000 0.2410
Mo 0.0000 0.0000 0.5000

Results
The excess energy over the best structure of this formula in the dataset is 0 meV/atom.

3.
First-principles (PBEsol) data for crystalline Na3B5SO8 at its relaxed geometry, as listed in Alexandria.

Cell lengths 11.417, 6.278, 10.976 Å; angles 90.00, 94.04, 90.00 degrees
Space group P2_1/c (No. 14)
One atom of each set of equivalent atoms:
Na 0.021 0.218 0.392
Na 0.212 0.075 0.149
Na 0.476 0.198 0.196
B 0.139 0.618 0.317
B 0.298 0.595 0.173
B 0.312 0.115 0.873
B 0.323 0.010 0.455
B 0.378 0.658 0.522
S 0.009 0.744 0.864
O 0.185 0.681 0.210
O 0.190 0.045 0.886
O 0.277 0.046 0.564
O 0.319 0.152 0.360
O 0.363 0.024 0.768
O 0.368 0.711 0.642
O 0.379 0.684 0.934
O 0.380 0.053 0.990

Results
Its uncorrected formation energy is -2202 meV per atom.

4.
First-principles (PBEsol) data for crystalline BeAs2Ru at its relaxed geometry, as listed in Alexandria.

Cell lengths 5.212, 5.212, 10.949 Å; angles 90.00, 90.00, 90.00 degrees
Space group I-42d (No. 122)
One atom of each set of equivalent atoms:
Be 0.000 0.000 0.000
As 0.233 0.250 0.125
Ru 0.000 0.000 0.500

Results
Its raw total energy is -94.04 eV per cell.

5.
First-principles (PBEsol) data for crystalline Tc2P at its relaxed geometry, as listed in Alexandria.

Cell lengths 2.862, 2.862, 9.383 Å; angles 90.00, 90.00, 90.00 degrees
Space group I4/mmm (No. 139)
One atom of each set of equivalent atoms:
Tc 0.000 0.000 0.152
P 0.000 0.000 0.500

Results
The excess energy over the best structure of this formula in the dataset is 69 meV/atom.

6.
First-principles (PBEsol) data for crystalline CaTi4O8 at its relaxed geometry, as listed in Alexandria.

Cell lengths 5.8510, 5.8510, 16.8234 Å; angles 90.00, 90.00, 120.00 degrees
Space group R-3m (No. 166, hexagonal axes)
One atom of each set of equivalent atoms:
Ca 0.0000 0.0000 0.0000
Ti 0.0000 0.0000 0.5000
Ti 0.0000 0.5000 0.5000
O 0.0000 0.0000 0.2260
O 0.0067 0.5034 0.7683

Results
The excess energy over the best structure of this formula in the dataset is 0 meV/atom. Its uncorrected formation energy is -2998 meV per atom.

7.
First-principles (PBEsol) data for crystalline MgTc at its relaxed geometry, as listed in Alexandria.

Cell lengths 4.561, 2.850, 14.481 Å; angles 90.00, 90.00, 90.00 degrees
Space group Amm2 (No. 38)
One atom of each set of equivalent atoms:
Mg 0.000 0.000 0.000
Mg 0.000 0.000 0.332
Mg 0.500 0.000 0.782
Tc 0.000 0.000 0.663
Tc 0.500 0.000 0.110
Tc 0.500 0.000 0.464

Results
The excess energy over the best structure of this formula in the dataset is 295 meV/atom.

8.
First-principles (PBEsol) data for crystalline Zr2NbIrPb at its relaxed geometry, as listed in Alexandria.

Cell lengths 5.200, 5.200, 4.795 Å; angles 90.00, 90.00, 90.00 degrees
Space group P4/mmm (No. 123)
One atom of each set of equivalent atoms:
Zr 0.000 0.500 0.000
Nb 0.000 0.000 0.500
Ir 0.500 0.500 0.500
Pb 0.500 0.500 0.000

Results
Its raw total energy is -34.23 eV per cell.

9.
First-principles (PBEsol) data for crystalline Tc2RhSe at its relaxed geometry, as listed in Alexandria.

Cell lengths 2.8261, 2.8261, 24.6046 Å; angles 90.00, 90.00, 120.00 degrees
Space group R-3m (No. 166, hexagonal axes)
One atom of each set of equivalent atoms:
Tc 0.0000 0.0000 0.2467
Rh 0.0000 0.0000 0.0000
Se 0.0000 0.0000 0.5000

Results
Its uncorrected formation energy is 168 meV per atom.

10.
First-principles (PBEsol) data for crystalline CaSi2P2 at its relaxed geometry, as listed in Alexandria.

Cell lengths 3.758, 3.758, 12.571 Å; angles 90.00, 90.00, 90.00 degrees
Space group I4/mmm (No. 139)
One atom of each set of equivalent atoms:
Ca 0.000 0.000 0.000
Si 0.000 0.500 0.250
P 0.000 0.000 0.412

Results
Its uncorrected formation energy is -143 meV per atom.

11.
First-principles (PBEsol) data for crystalline Tm3Ni7B2 at its relaxed geometry, as listed in Alexandria.

Cell lengths 4.9520, 4.9520, 14.0727 Å; angles 90.00, 90.00, 120.00 degrees
Space group P6_3/mmc (No. 194)
One atom of each set of equivalent atoms:
Tm 0.3333 0.6667 0.0329
Tm 0.3333 0.6667 0.2500
Ni 0.0000 0.0000 0.0000
Ni 0.1658 0.3315 0.6473
B 0.0000 0.0000 0.2500
B 0.3333 0.6667 0.7500

Results
Its raw total energy is -157.84 eV per cell.

12.
First-principles (PBEsol) data for crystalline BaLiIn2 at its relaxed geometry, as listed in Alexandria.

Cell lengths 3.604, 3.604, 8.190 Å; angles 90.00, 90.00, 90.00 degrees
Space group P4/mmm (No. 123)
One atom of each set of equivalent atoms:
Ba 0.000 0.000 0.000
Li 0.000 0.000 0.500
In 0.500 0.500 0.313

Results
Its raw total energy is -11.50 eV per cell.

13.
First-principles (PBEsol) data for crystalline HgPtW2 at its relaxed geometry, as listed in Alexandria.

Cell lengths 2.8229, 2.8229, 28.6591 Å; angles 90.00, 90.00, 120.00 degrees
Space group R3m (No. 160, hexagonal axes)
One atom of each set of equivalent atoms:
Hg 0.0000 0.0000 0.0000
Pt 0.0000 0.0000 0.7532
W 0.0000 0.0000 0.2454
W 0.0000 0.0000 0.4953

Results
Its raw total energy is -101.96 eV per cell.

14.
First-principles (PBEsol) data for crystalline Fe3Re at its relaxed geometry, as listed in Alexandria.

Cell lengths 4.540, 4.540, 4.540 Å; angles 90.00, 90.00, 90.00 degrees
Space group Pm-3n (No. 223)
One atom of each set of equivalent atoms:
Fe 0.000 0.250 0.500
Re 0.000 0.000 0.000

Results
Its raw total energy is -79.98 eV per cell.

15.
First-principles (PBEsol) data for crystalline CdRuCl2 at its relaxed geometry, as listed in Alexandria.

Cell lengths 3.4911, 3.4911, 25.5748 Å; angles 90.00, 90.00, 120.00 degrees
Space group R-3m (No. 166, hexagonal axes)
One atom of each set of equivalent atoms:
Cd 0.0000 0.0000 0.0000
Ru 0.0000 0.0000 0.5000
Cl 0.0000 0.0000 0.2148

Results
The excess energy over the best structure of this formula in the dataset is 68 meV/atom. Its uncorrected formation energy is -36 meV per atom.

16.
First-principles (PBEsol) data for crystalline YMnCl at its relaxed geometry, as listed in Alexandria.

Cell lengths 3.4728, 3.4728, 6.3676 Å; angles 90.00, 90.00, 120.00 degrees
Space group P3m1 (No. 156)
One atom of each set of equivalent atoms:
Y 0.0000 0.0000 0.0000
Mn 0.6667 0.3333 0.3378
Cl 0.3333 0.6667 0.6981

Results
Its uncorrected formation energy is -345 meV per atom.

17.
First-principles (PBEsol) data for crystalline CsCuH2 at its relaxed geometry, as listed in Alexandria.

Cell lengths 7.907, 7.907, 7.907 Å; angles 90.00, 90.00, 90.00 degrees
Space group Fd-3m (No. 227, origin choice 2)
One atom of each set of equivalent atoms:
Cs 0.125 0.125 0.125
Cu 0.125 0.125 0.625
H 0.000 0.000 0.500

Results
Its raw total energy is -97.81 eV per cell.

18.
First-principles (PBEsol) data for crystalline Li4MnF8 at its relaxed geometry, as listed in Alexandria.

Cell lengths 5.007, 5.921, 5.087 Å; angles 90.00, 110.78, 90.00 degrees
Space group P2 (No. 3)
One atom of each set of equivalent atoms:
Li 0.000 0.000 0.000
Li 0.000 0.200 0.500
Li 0.000 0.754 0.500
Li 0.500 0.807 0.000
Mn 0.000 0.487 0.000
F 0.204 0.972 0.756
F 0.205 0.498 0.769
F 0.213 0.268 0.223
F 0.231 0.709 0.214

Results
The excess energy over the best structure of this formula in the dataset is 0 meV/atom. Its uncorrected formation energy is -2718 meV per atom.

19.
First-principles (PBEsol) data for crystalline InSiTe2N at its relaxed geometry, as listed in Alexandria.

Cell lengths 5.728, 5.728, 3.293 Å; angles 90.00, 90.00, 90.00 degrees
Space group P4/mmm (No. 123)
One atom of each set of equivalent atoms:
In 0.000 0.000 0.000
Si 0.500 0.500 0.500
Te 0.000 0.500 0.500
N 0.500 0.500 0.000

Results
Its uncorrected formation energy is 47 meV per atom.

20.
First-principles (PBEsol) data for crystalline CoNiRh2 at its relaxed geometry, as listed in Alexandria.

Cell lengths 3.949, 2.593, 9.509 Å; angles 90.00, 90.00, 90.00 degrees
Space group Amm2 (No. 38)
One atom of each set of equivalent atoms:
Co 0.000 0.000 0.000
Ni 0.500 0.000 0.867
Rh 0.000 0.000 0.262
Rh 0.500 0.000 0.605

Results
The excess energy over the best structure of this formula in the dataset is 36 meV/atom.